# 1
## Tm2AlPb (GGA-PBE)

Data for an optimized crystal structure of Tm2AlPb.

Summary:
SG: P4/mmm (123)

Cell and atoms, written as POSCAR:
```
Tm2AlPb
1.0
4.2988 0.0000 0.0000
0.0000 4.8277 0.0000
0.0000 0.0000 4.8277
Pb Tm Al
1 2 1
Direct
0.5000 0.0000 0.0000
0.0000 0.0000 0.5000
0.0000 0.5000 0.0000
0.5000 0.5000 0.5000
```


# 2
## UAlPb2 (GGA-PBE)

Data for an optimized crystal structure of UAlPb2.

Summary:
SG: P4/mmm (123)

Cell and atoms, written as POSCAR:
```
UAlPb2
1.0
4.5435 0.0000 0.0000
0.0000 4.6969 0.0000
0.0000 0.0000 4.6969
Pb Al U
2 1 1
Direct
0.0000 0.0000 0.5000
0.0000 0.5000 0.0000
0.5000 0.5000 0.5000
0.5000 0.0000 0.0000
```


# 3
## AlVPb2 (GGA-PBE)

Data for an optimized crystal structure of AlVPb2.

Summary:
SG: I-42d (122)

Cell and atoms, written as POSCAR:
```
AlVPb2
1.0
6.3886 0.0000 0.0000
0.0000 6.3886 0.0000
3.1943 3.1943 6.2151
Al V Pb
2 2 4
Direct
0.5000 0.5000 0.0000
0.2500 0.7500 0.5000
0.7500 0.2500 0.5000
0.0000 0.0000 0.0000
0.6433 0.1250 0.2500
0.3750 0.3567 0.7500
0.8750 0.8933 0.7500
0.1067 0.6250 0.2500
```


Calculated DFT formation energy (eV/f.u.), listed in the same order as above: -1.327; 0.597; 3.998
Calculated raw total energy (eV per cell), listed in the same order as above: -17.72; -21.85; -32.56